1.
A plane-wave DFT calculation with GGA-PBE was carried out for crystalline RbLaMg2 at its relaxed geometry.

The structure in POSCAR format:
```
RbLaMg2
1.0
4.996 1.010 3.013
0.552 4.914 3.255
0.014 -0.350 5.910
Mg Rb La
2 1 1
Cartesian
4.171 4.180 9.134
1.390 1.393 3.045
0.000 0.000 0.000
2.781 2.787 6.089
```

Values from the calculation:
energy of formation: 0.3021 eV/atom
E above lowest polymorph: 0.000 eV per atom
symmetry: No. 225
magnetization: 0.0 μB/f.u.

=====

2.
A plane-wave DFT calculation with GGA-PBE was carried out for crystalline RbLaMg2 at its relaxed geometry.

The structure in POSCAR format:
```
RbLaMg2
1.0
-1.321 2.905 -8.783
-0.765 -8.876 -2.821
-4.636 -2.860 -5.220
La Mg Rb
2 4 2
Cartesian
0.000 0.000 0.000
-3.500 -1.470 -9.902
-2.104 0.043 -7.305
-4.245 -4.224 -8.215
-5.316 -7.529 -14.119
-1.779 -5.951 -4.008
-3.222 -7.361 -6.921
-1.043 -2.985 -5.802
```

Values from the calculation:
energy of formation: 0.5266 eV/atom
E above lowest polymorph: 0.224 eV per atom
symmetry: No. 122
magnetization: 0.0 μB/f.u.